1.
First-principles (PBE) data for crystalline Cs3Sr2Br2Cl5 at its relaxed geometry, as listed in Alexandria.

Cell lengths 15.443, 15.443, 15.443 Å; angles 158.68, 158.68, 30.33 degrees
Atoms (fractional coordinates):
Cs 0.000 0.000 0.000
Cs 0.181 0.181 0.000
Cs 0.819 0.819 0.000
Sr 0.403 0.403 0.000
Sr 0.597 0.597 0.000
Br 0.302 0.302 0.000
Br 0.698 0.698 0.000
Cl 0.094 0.594 0.500
Cl 0.406 0.906 0.500
Cl 0.500 0.500 0.000
Cl 0.594 0.094 0.500
Cl 0.906 0.406 0.500

SG   I4/mmm, No. 139


2.
First-principles (PBE) data for crystalline Cs2TaBr4Cl2 at its relaxed geometry, as listed in Alexandria.

Cell lengths 7.633, 7.633, 6.595 Å; angles 94.68, 94.68, 60.55 degrees
Atoms (fractional coordinates):
Cs 0.157 0.157 0.265
Cs 0.843 0.843 0.735
Ta 0.500 0.500 0.500
Br 0.169 0.650 0.269
Br 0.350 0.831 0.731
Br 0.650 0.169 0.269
Br 0.831 0.350 0.731
Cl 0.360 0.360 0.705
Cl 0.640 0.640 0.295

SG   C2/m, No. 12


3.
First-principles (PBE) data for crystalline Cs2TaBrCl6 at its relaxed geometry, as listed in Alexandria.

Cell lengths 8.200, 8.200, 8.200 Å; angles 60.00, 60.00, 60.00 degrees
Atoms (fractional coordinates):
Cs 0.250 0.250 0.250
Cs 0.750 0.750 0.750
Ta 0.000 0.000 0.000
Br 0.500 0.500 0.500
Cl 0.205 0.205 0.795
Cl 0.205 0.795 0.205
Cl 0.205 0.795 0.795
Cl 0.795 0.205 0.205
Cl 0.795 0.205 0.795
Cl 0.795 0.795 0.205

Energy relative to the lowest polymorph listed for this composition   9.65 kJ/mol of atoms
SG   Fm-3m, No. 225


4.
First-principles (PBE) data for crystalline Cs2TaBr2Cl4 at its relaxed geometry, as listed in Alexandria.

Cell lengths 7.665, 7.665, 7.665 Å; angles 120.05, 120.05, 89.92 degrees
Atoms (fractional coordinates):
Cs 0.250 0.750 0.500
Cs 0.750 0.250 0.500
Ta 0.000 0.000 0.000
Br 0.241 0.241 0.000
Br 0.759 0.759 0.000
Cl 0.223 0.223 0.447
Cl 0.223 0.777 0.000
Cl 0.777 0.223 0.000
Cl 0.777 0.777 0.553

SG   I4/mmm, No. 139


| no. | M_tot (μB per formula unit) | total energy (eV per formula unit) |
| --- | --- | --- |
| 1 | 0.2 | -44.6 |
| 2 | 1.0 | -36.8 |
| 3 | 0.0 | -41.1 |
| 4 | 1.0 | -38.3 |